Density functional theory data (PBE) for an optimized crystal structure of MgNb2CrW.

Results
The value obtained for the density of states at the Fermi level is 4.06 states/eV/cell. Its formation energy is 9.2 eV per formula unit. The energy is -35.14 eV/cell.

POSCAR file:
```
MgNb2CrW
1.0
4.7889 0.0000 0.0000
0.0000 4.7889 0.0000
0.0000 0.0000 5.0053
Mg Nb Cr W
1 2 1 1
Cartesian
0.0000 0.0000 0.0000
0.0000 2.3944 2.5026
2.3944 0.0000 2.5026
2.3944 2.3944 0.0000
0.0000 0.0000 2.5026
```